GGA-PBE NaYAg4, optimized geometry; total moment = 0.01 μB per cell; ΔH_f (0 K) = -95 meV/atom; calculated total energy = -3.29 eV/atom
1.0
5.665 0.000 0.000
2.832 4.906 0.000
2.832 1.635 4.625
Y Na Ag
1 1 4
Direct
0.250 0.250 0.250
0.000 0.000 0.000
0.625 0.625 0.124
0.625 0.124 0.625
0.625 0.625 0.625
0.124 0.625 0.625

=====

GGA-PBE SrAl4Au3, optimized geometry; total moment = 0.00 μB per cell; ΔH_f (0 K) = -573 meV/atom; calculated total energy = -3.88 eV/atom
1.0
-2.916 -0.109 3.187
-1.019 -4.060 -1.071
6.185 -3.017 5.556
Sr Au Al
1 3 4
Direct
0.000 0.000 0.500
0.000 0.000 0.000
0.500 0.500 0.336
0.500 0.500 0.664
0.500 0.000 0.170
0.000 0.500 0.170
0.500 0.000 0.830
0.000 0.500 0.830